# 1
Density functional theory data (PBEsol) for a relaxed structure of Cd2BiPdRu.

Cell and atoms, written as CIF:
```
data_Cd2BiPdRu
_space_group_name_H-M_alt 'P 4/m m m'
_space_group_IT_number 123
_space_group_name_Hall '-P 4 2'
_cell_length_a 4.963
_cell_length_b 4.963
_cell_length_c 4.752
_cell_angle_alpha 90.00
_cell_angle_beta 90.00
_cell_angle_gamma 90.00
loop_
_atom_site_label
_atom_site_type_symbol
_atom_site_fract_x
_atom_site_fract_y
_atom_site_fract_z
_atom_site_occupancy
Cd1 Cd 0.000 0.500 0.000 1
Bi1 Bi 0.000 0.000 0.500 1
Pd1 Pd 0.500 0.500 0.000 1
Ru1 Ru 0.500 0.500 0.500 1
```

Summary:
Energy of formation from the pure elements ... 0.800 eV/atom

---

# 2
Density functional theory data (PBEsol) for a relaxed structure of AlW2Au.

Cell and atoms, written as CIF:
```
data_AlW2Au
_space_group_name_H-M_alt 'C 1 2/m 1'
_space_group_IT_number 12
_cell_length_a 5.302
_cell_length_b 8.573
_cell_length_c 2.739
_cell_angle_alpha 90.00
_cell_angle_beta 91.74
_cell_angle_gamma 90.00
loop_
_space_group_symop_operation_xyz
'x,y,z'
'-x,-y,-z'
'-x,y,-z'
'x,-y,z'
'x+1/2,y+1/2,z'
'-x+1/2,-y+1/2,-z'
'-x+1/2,y+1/2,-z'
'x+1/2,-y+1/2,z'
loop_
_atom_site_label
_atom_site_type_symbol
_atom_site_fract_x
_atom_site_fract_y
_atom_site_fract_z
_atom_site_occupancy
Al1 Al 0.000 0.000 0.000 1
W1 W 0.250 0.250 0.500 1
Au1 Au 0.000 0.500 0.000 1
```

Summary:
Energy of formation from the pure elements ... 0.167 eV/atom

---

# 3
Density functional theory data (PBEsol) for a relaxed structure of Ba2CoAgF.

Cell and atoms, written as CIF:
```
data_Ba2CoAgF
_space_group_name_H-M_alt 'P 4/m m m'
_space_group_IT_number 123
_space_group_name_Hall '-P 4 2'
_cell_length_a 5.221
_cell_length_b 5.221
_cell_length_c 4.938
_cell_angle_alpha 90.00
_cell_angle_beta 90.00
_cell_angle_gamma 90.00
loop_
_atom_site_label
_atom_site_type_symbol
_atom_site_fract_x
_atom_site_fract_y
_atom_site_fract_z
_atom_site_occupancy
Ba1 Ba 0.000 0.500 0.000 1
Co1 Co 0.000 0.000 0.500 1
Ag1 Ag 0.500 0.500 0.500 1
F1 F 0.500 0.500 0.000 1
```

Summary:
Formation energy (no corrections) ... -0.440 eV per atom

---

# 4
Density functional theory data (PBEsol) for a relaxed structure of SrMgH4.

Cell and atoms, written as CIF:
```
data_SrMgH4
_space_group_name_H-M_alt 'C m c 21'
_space_group_IT_number 36
_cell_length_a 3.941
_cell_length_b 13.267
_cell_length_c 5.524
_cell_angle_alpha 90.00
_cell_angle_beta 90.00
_cell_angle_gamma 90.00
loop_
_space_group_symop_operation_xyz
'x,y,z'
'-x,-y,z+1/2'
'-x,y,z'
'x,-y,z+1/2'
'x+1/2,y+1/2,z'
'-x+1/2,-y+1/2,z+1/2'
'-x+1/2,y+1/2,z'
'x+1/2,-y+1/2,z+1/2'
loop_
_atom_site_label
_atom_site_type_symbol
_atom_site_fract_x
_atom_site_fract_y
_atom_site_fract_z
_atom_site_occupancy
Sr1 Sr 0.000 0.151 0.000 1
Mg1 Mg 0.000 0.415 0.044 1
H1 H 0.000 0.073 0.577 1
H2 H 0.000 0.298 0.251 1
H3 H 0.000 0.331 0.766 1
H4 H 0.000 0.458 0.391 1
```

Summary:
E_tot ... -3.191 eV/atom

---

# 5
Density functional theory data (PBEsol) for a relaxed structure of TaAl2Sb.

Cell and atoms, written as CIF:
```
data_TaAl2Sb
_space_group_name_H-M_alt 'P 4 m m'
_space_group_IT_number 99
_cell_length_a 2.978
_cell_length_b 2.978
_cell_length_c 8.508
_cell_angle_alpha 90.00
_cell_angle_beta 90.00
_cell_angle_gamma 90.00
loop_
_space_group_symop_operation_xyz
'x,y,z'
'-y,x,z'
'-x,-y,z'
'y,-x,z'
'-x,y,z'
'y,x,z'
'x,-y,z'
'-y,-x,z'
loop_
_atom_site_label
_atom_site_type_symbol
_atom_site_fract_x
_atom_site_fract_y
_atom_site_fract_z
_atom_site_occupancy
Ta1 Ta 0.000 0.000 0.000 1
Al1 Al 0.000 0.000 0.444 1
Al2 Al 0.500 0.500 0.223 1
Sb1 Sb 0.500 0.500 0.740 1
```

Summary:
Formation energy (no corrections) ... 0.117 eV per atom

---

# 6
Density functional theory data (PBEsol) for a relaxed structure of TaTl.

Cell and atoms, written as CIF:
```
data_TaTl
_space_group_name_H-M_alt 'P 63/m m c'
_space_group_IT_number 194
_space_group_name_Hall '-P 6c 2c'
_cell_length_a 4.1407
_cell_length_b 4.1407
_cell_length_c 5.9989
_cell_angle_alpha 90.00
_cell_angle_beta 90.00
_cell_angle_gamma 120.00
loop_
_atom_site_label
_atom_site_type_symbol
_atom_site_fract_x
_atom_site_fract_y
_atom_site_fract_z
_atom_site_occupancy
Ta1 Ta 0.3333 0.6667 0.2500 1
Tl1 Tl 0.0000 0.0000 0.0000 1
```

Summary:
Distance to the lowest polymorph of the same formula ... 1.324 eV/f.u.
Energy of formation from the pure elements ... 1.189 eV/atom

---

# 7
Density functional theory data (PBEsol) for a relaxed structure of K2LiY.

Cell and atoms, written as CIF:
```
data_K2LiY
_space_group_name_H-M_alt 'I -4 2 d'
_space_group_IT_number 122
_space_group_name_Hall 'I -4 2bw'
_cell_length_a 9.769
_cell_length_b 9.769
_cell_length_c 7.032
_cell_angle_alpha 90.00
_cell_angle_beta 90.00
_cell_angle_gamma 90.00
loop_
_atom_site_label
_atom_site_type_symbol
_atom_site_fract_x
_atom_site_fract_y
_atom_site_fract_z
_atom_site_occupancy
K1 K 0.208 0.250 0.125 1
Li1 Li 0.000 0.000 0.000 1
Y1 Y 0.000 0.000 0.500 1
```

Summary:
Energy of formation from the pure elements ... 0.657 eV/atom

---

# 8
Density functional theory data (PBEsol) for a relaxed structure of TeOsCl.

Cell and atoms, written as CIF:
```
data_TeOsCl
_space_group_name_H-M_alt 'F m m 2'
_space_group_IT_number 42
_space_group_name_Hall 'F 2 -2'
_cell_length_a 3.062
_cell_length_b 5.495
_cell_length_c 14.629
_cell_angle_alpha 90.00
_cell_angle_beta 90.00
_cell_angle_gamma 90.00
loop_
_atom_site_label
_atom_site_type_symbol
_atom_site_fract_x
_atom_site_fract_y
_atom_site_fract_z
_atom_site_occupancy
Te1 Te 0.000 0.000 0.000 1
Os1 Os 0.000 0.000 0.646 1
Cl1 Cl 0.000 0.000 0.276 1
```

Summary:
Formation energy (no corrections) ... 0.555 eV per atom